## i
PBE AlSi2Tc2, optimized geometry; Fermi-level density of states = 0.37 states/eV per atom; ρ = 6.7 Mg/m³; spin magnetization = 0.000 μB/atom
1.0
6.833 0.000 0.000
0.000 6.833 0.000
0.000 0.000 2.968
Al Si Tc
2 4 4
Direct
0.000 0.000 0.000
0.500 0.500 0.000
0.134 0.366 0.000
0.366 0.866 0.000
0.634 0.134 0.000
0.866 0.634 0.000
0.160 0.660 0.500
0.340 0.160 0.500
0.660 0.840 0.500
0.840 0.340 0.500

---

## ii
PBE AlSi2Tc2, optimized geometry; Fermi-level density of states = 0.38 states/eV per atom; ρ = 6.3 Mg/m³; spin magnetization = 0.000 μB/atom
1.0
-1.687 1.687 6.425
1.687 -1.687 6.425
1.687 1.687 -6.425
Al Si Tc
1 2 2
Direct
0.000 0.000 0.000
0.250 0.750 0.500
0.750 0.250 0.500
0.390 0.390 0.000
0.610 0.610 0.000

---

Stability check: which of them is most stable? ii.

---

## i
PBE Al2SiTc2, optimized geometry; Fermi-level density of states = 1.09 states/eV per atom; ρ = 6.4 Mg/m³; spin magnetization = 0.000 μB/atom
1.0
6.649 0.000 0.000
0.000 6.649 0.000
0.000 0.000 3.243
Al Si Tc
4 2 4
Direct
0.132 0.368 0.000
0.368 0.868 0.000
0.632 0.132 0.000
0.868 0.632 0.000
0.000 0.000 0.000
0.500 0.500 0.000
0.170 0.670 0.500
0.330 0.170 0.500
0.670 0.830 0.500
0.830 0.330 0.500

---

## ii
PBE Al2SiTc2, optimized geometry; Fermi-level density of states = 0.16 states/eV per atom; ρ = 6.2 Mg/m³; spin magnetization = 0.000 μB/atom
1.0
6.477 0.000 0.000
0.000 6.477 0.000
0.000 0.000 3.559
Al Si Tc
4 2 4
Direct
0.144 0.356 0.000
0.356 0.856 0.000
0.644 0.144 0.000
0.856 0.644 0.000
0.000 0.000 0.500
0.500 0.500 0.500
0.160 0.660 0.500
0.340 0.160 0.500
0.660 0.840 0.500
0.840 0.340 0.500

---

Stability check: which of them is most stable? ii.

---

## i
PBE Th2AlSi, optimized geometry; Fermi-level density of states = 0.76 states/eV per atom; ρ = 8.5 Mg/m³; spin magnetization = 0.000 μB/atom
1.0
6.033 0.000 0.000
0.000 4.065 0.000
-2.730 0.000 8.288
Th Al Si
4 2 2
Direct
0.205 0.250 0.424
0.279 0.750 0.067
0.721 0.250 0.933
0.795 0.750 0.576
0.361 0.750 0.715
0.639 0.250 0.285
0.144 0.250 0.787
0.856 0.750 0.213

---

## ii
PBE Th2AlSi, optimized geometry; Fermi-level density of states = 1.05 states/eV per atom; ρ = 6.7 Mg/m³; spin magnetization = 0.000 μB/atom
1.0
1.926 1.112 10.013
-1.926 1.112 10.013
0.000 -2.223 10.013
Th Al Si
2 1 1
Direct
0.107 0.107 0.107
0.893 0.893 0.893
0.000 0.000 0.000
0.500 0.500 0.500

---

Stability check: which of them is most stable? i.

---

## i
PBE TiAl3Si, optimized geometry; Fermi-level density of states = 0.86 states/eV per atom; ρ = 2.5 Mg/m³; spin magnetization = 0.000 μB/atom
1.0
4.683 0.000 0.000
0.000 4.683 0.000
0.000 0.000 4.683
Ti Al Si
1 3 1
Direct
0.000 0.000 0.000
0.000 0.500 0.500
0.500 0.000 0.500
0.500 0.500 0.000
0.500 0.500 0.500

---

## ii
PBE TiAl3Si, optimized geometry; Fermi-level density of states = 0.59 states/eV per atom; ρ = 2.2 Mg/m³; spin magnetization = 0.236 μB/atom
1.0
4.942 0.000 0.000
0.000 4.942 0.000
0.000 0.000 4.942
Ti Al Si
1 3 1
Direct
0.000 0.000 0.000
0.000 0.000 0.500
0.000 0.500 0.000
0.500 0.000 0.000
0.500 0.500 0.500

---

Stability check: which of them is most stable? i.